Here is a relaxed structure of CdNiAu2 from Alexandria via LeMat-Bulk. Energies are from GGA-PBE.

```
4
Lattice="5.010 0.010 -0.022 4.126 2.842 -0.022 1.131 0.353 4.769" Properties=species:S:1:pos:R:3 pbc="T T T"
Ni 2.567 0.801 1.181
Cd 7.701 2.404 3.543
Au 9.008 2.812 0.026
Au 5.262 1.642 2.292
```

Calculated values
Formation enthalpy at 0 K = 0.014 eV per atom
Symmetry = C2/m (12)
Calculated total energy = -13.20 eV per cell

=====

Here is a relaxed structure of Nb2GaFe3 from Alexandria via LeMat-Bulk. Energies are from GGA-PBE.

```
12
Lattice="4.988 -1.142 0.000 -1.335 4.940 0.000 -1.826 -1.899 7.452" Properties=species:S:1:pos:R:3 pbc="T T T"
Fe 0.000 0.000 2.328
Fe 1.826 1.899 5.124
Fe 0.257 3.408 1.245
Fe -1.570 1.510 6.207
Fe 3.396 0.389 1.245
Fe 1.570 -1.510 6.207
Nb -0.668 2.470 3.726
Nb 0.909 0.945 0.000
Nb 2.494 -0.571 3.726
Nb 2.743 2.852 0.000
Ga 1.826 1.899 2.542
Ga 0.000 0.000 4.911
```

Calculated values
Formation enthalpy at 0 K = -0.004 eV per atom
Symmetry = Fmmm (69)
Calculated total energy = -97.16 eV per cell

=====

Here is a relaxed structure of Pm2HoHfAs4 from Alexandria via LeMat-Bulk. Energies are from GGA-PBE.

```
8
Lattice="-3.257 -1.673 1.809 0.387 -5.522 -4.411 3.896 -1.341 5.772" Properties=species:S:1:pos:R:3 pbc="T T T"
As 3.078 -2.386 3.332
As 1.205 -4.476 -1.971
As 1.670 -6.094 1.980
As -0.645 -2.441 1.191
Hf 0.000 0.000 0.000
Pm 2.141 -3.431 0.681
Pm 0.319 -1.507 3.791
Ho -1.435 -3.598 -1.301
```

Calculated values
Formation enthalpy at 0 K = -1.392 eV per atom
Symmetry = P2/m (10)
Calculated total energy = -53.77 eV per cell

=====

Here is a relaxed structure of Ac6Ge3I from Alexandria via LeMat-Bulk. Energies are from GGA-PBE.

```
20
Lattice="8.036 0.000 0.000 0.000 9.851 0.069 0.000 -2.131 9.618" Properties=species:S:1:pos:R:3 pbc="T T T"
Ac 1.925 2.668 8.779
Ac 1.264 5.637 6.152
Ac 1.264 2.982 2.820
Ac 5.282 4.739 6.867
Ac 5.943 5.053 0.908
Ac 0.865 6.888 2.431
Ac 5.943 7.962 4.559
Ac 6.109 9.789 0.118
Ac 5.282 2.083 3.536
Ac 2.091 -2.069 9.569
Ac 4.883 0.832 7.257
Ac 1.925 -0.242 5.128
Ge 3.866 2.575 0.710
Ge 7.884 5.145 8.977
Ge 2.877 2.808 5.683
Ge 6.895 4.913 4.005
Ge 7.884 0.118 2.668
Ge 3.866 7.603 7.019
I 4.047 7.742 1.750
I 0.029 -0.021 7.937
```

Calculated values
Symmetry = Cmc2_1 (36)
E_form (uncorrected) = -0.5496 eV per atom
Calculated total energy = -91.10 eV per cell

=====

| no. | calculated density (g/cm³) |
| --- | --- |
| 1 | 13.84 |
| 2 | 8.16 |
| 3 | 8.01 |
| 4 | 7.43 |